{"formula": "CaRuC2", "functional": "PBE-GGA", "state": "relaxed", "lattice": [[-2.5483, 2.5483, 4.9902], [2.5483, -2.5483, 4.9902], [2.5483, 2.5483, -4.9902]], "species": ["Ca", "Ca", "Ru", "Ru", "C", "C", "C", "C"], "fractional_positions": [[0.0000, 0.0000, 0.0000], [0.7500, 0.2500, 0.5000], [0.2500, 0.7500, 0.5000], [0.5000, 0.5000, 0.0000], [0.2382, 0.6250, 0.1132], [0.3750, 0.4882, 0.6132], [0.5118, 0.1250, 0.8868], [0.8750, 0.7618, 0.3868]], "dos_ef_per_ev_cell": 2.95, "m_tot_mub_per_cell": 0.000, "delta_e_f_ev_per_atom": 0.49}